VASP calculation (PBE) on an optimized crystal structure of UV6.

It has space group Im-3m (No. 229), with a = 6.474 Å, b = 6.474 Å, c = 6.474 Å, α = 90.00°, β = 90.00° and γ = 90.00°. Symmetry generates all atoms from U at (0.000, 0.000, 0.000) and V at (0.000, 0.250, 0.500).

Its formation energy is 1.62 eV per atom.



VASP calculation (PBE) on an optimized crystal structure of Al2ReSb.

It has space group R3m (No. 160, hexagonal axes), with a = 3.1663 Å, b = 3.1663 Å, c = 25.3919 Å, α = 90.00°, β = 90.00° and γ = 120.00°. Symmetry generates all atoms from Al at (0.0000, 0.0000, 0.0000), Al at (0.0000, 0.0000, 0.2481), Re at (0.0000, 0.0000, 0.5065) and Sb at (0.0000, 0.0000, 0.7606).

The raw formation energy is 1.22 eV/f.u.



Number 1: total magnetization 1.2750 μB per atom. Number 2: total magnetization 0.0000 μB per atom.